Material: Dy2Pt
Method: DFT, PBEsol
State: optimized geometry

extended XYZ file:
```
12
Lattice="4.696 0.000 0.000 0.000 7.018 0.000 0.000 0.000 8.671" Properties=species:S:1:pos:R:3 pbc="T T T"
Dy 3.522 4.532 3.630
Pt 3.522 5.200 0.799
Dy 1.174 3.446 1.471
Dy 1.174 5.995 7.965
Dy 1.174 6.955 2.864
Dy 1.174 2.486 5.041
Pt 3.522 1.691 3.537
Dy 3.522 0.063 5.807
Pt 1.174 1.818 7.873
Dy 3.522 1.023 0.706
Dy 3.522 3.572 7.200
Pt 1.174 5.327 5.134
```

Summary:
symmetry: Pnma
energy of formation: -2.77 eV per formula unit
V: 23.813 Å³/atom

---

Material: Sr2LaMo
Method: DFT, PBEsol
State: optimized geometry

extended XYZ file:
```
4
Lattice="-2.623 -2.314 -0.335 -0.208 -2.016 -2.870 5.634 -9.666 4.231" Properties=species:S:1:pos:R:3 pbc="T T T"
Sr 2.408 -10.879 1.015
Sr 0.395 -3.117 0.010
La 1.402 -6.998 0.513
Mo 0.000 0.000 0.000
```

Summary:
symmetry: R-3m
energy of formation: 3.78 eV per formula unit
V: 31.506 Å³/atom

---

Material: ScTi2InC
Method: DFT, PBEsol
State: optimized geometry

extended XYZ file:
```
5
Lattice="4.233 0.000 0.000 0.000 4.233 0.000 0.000 0.000 4.428" Properties=species:S:1:pos:R:3 pbc="T T T"
Sc 0.000 0.000 2.214
In 2.116 2.116 2.214
Ti 0.000 2.116 0.000
Ti 2.116 0.000 0.000
C 0.000 0.000 0.000
```

Summary:
symmetry: P4/mmm
energy above the lowest structure with this stoichiometry: 0 meV/atom
energy of formation: -3.09 eV per formula unit
V: 15.868 Å³/atom

---

Material: HgAu2Cl
Method: DFT, PBEsol
State: optimized geometry

extended XYZ file:
```
4
Lattice="4.759 0.000 0.000 2.379 4.121 0.000 2.379 1.374 3.886" Properties=species:S:1:pos:R:3 pbc="T T T"
Hg 4.759 2.748 1.943
Au 7.138 4.121 2.914
Au 2.379 1.374 0.971
Cl 0.000 0.000 0.000
```

Summary:
symmetry: Fm-3m
energy above the lowest structure with this stoichiometry: 171 meV/atom
formation energy from raw total energies: 0.315 eV per atom
V: 19.053 Å³/atom

---

Material: CaGa2Co2
Method: DFT, PBEsol
State: optimized geometry

extended XYZ file:
```
5
Lattice="4.047 0.000 0.000 0.000 4.047 0.000 -2.024 -2.024 4.898" Properties=species:S:1:pos:R:3 pbc="T T T"
Ga 2.024 2.024 1.323
Ca 0.000 0.000 0.000
Ga 0.000 0.000 3.575
Co 0.000 2.024 2.449
Co 2.024 0.000 2.449
```

Summary:
symmetry: I4/mmm
energy of formation: -1.39 eV per formula unit
V: 16.046 Å³/atom

---

Material: MgCuBr
Method: DFT, PBEsol
State: optimized geometry

extended XYZ file:
```
3
Lattice="-2.780 2.906 2.114 -3.766 1.462 -2.080 -4.078 -1.396 1.439" Properties=species:S:1:pos:R:3 pbc="T T T"
Mg -2.656 0.743 0.368
Br 0.000 0.000 0.000
Cu -5.312 1.487 0.736
```

Summary:
symmetry: F-43m
formation energy from raw total energies: 0.107 eV per atom
V: 22.111 Å³/atom

---

Material: Ti2SiSb2
Method: DFT, PBEsol
State: optimized geometry

extended XYZ file:
```
10
Lattice="-3.512 1.009 1.297 -0.810 -6.359 2.755 2.845 2.224 5.971" Properties=species:S:1:pos:R:3 pbc="T T T"
Ti 2.131 -0.327 6.022
Sb -1.600 -1.357 2.520
Sb -1.456 -4.108 5.049
Sb 0.123 -1.769 7.503
Ti 1.168 -3.943 6.229
Ti -0.096 -3.808 2.704
Si 0.000 0.000 0.000
Sb -0.021 0.982 4.974
Ti 0.867 -0.192 2.497
Si 1.017 -2.068 4.363
```

Summary:
symmetry: P4/mbm
formation energy from raw total energies: -0.308 eV per atom
V: 18.878 Å³/atom

---

Material: YScTl2
Method: DFT, PBEsol
State: optimized geometry

extended XYZ file:
```
4
Lattice="-0.570 -0.301 -3.507 -3.488 -2.878 0.814 -3.927 4.822 0.224" Properties=species:S:1:pos:R:3 pbc="T T T"
Tl -3.088 -0.289 -1.286
Y -1.883 2.312 0.108
Tl -3.806 4.674 0.217
Sc -5.097 2.178 -1.172
```

Summary:
symmetry: Pmm2
energy of formation: -0.78 eV per formula unit
V: 25.486 Å³/atom

---

Material: LaAl2Cd
Method: DFT, PBEsol
State: optimized geometry

extended XYZ file:
```
4
Lattice="3.030 0.000 0.000 0.000 5.682 -0.022 0.000 -1.984 5.325" Properties=species:S:1:pos:R:3 pbc="T T T"
Al 0.000 -0.992 2.662
Cd 1.515 0.000 0.000
Al 0.000 2.841 -0.011
La 1.515 1.849 2.652
```

Summary:
symmetry: Cmmm
energy of formation: -0.18 eV per formula unit
V: 22.886 Å³/atom

---

Material: KTcAg2
Method: DFT, PBEsol
State: optimized geometry

extended XYZ file:
```
4
Lattice="4.781 0.000 0.000 2.390 4.140 0.000 2.390 1.380 3.903" Properties=species:S:1:pos:R:3 pbc="T T T"
Tc 2.390 1.380 0.976
K 4.781 2.760 1.952
Ag 7.171 4.140 2.928
Ag 0.000 0.000 0.000
```

Summary:
symmetry: F-43m
energy above the lowest structure with this stoichiometry: 545 meV/atom
energy of formation: 4.78 eV per formula unit
V: 19.314 Å³/atom

---

Material: Mg2CrWO6
Method: DFT, PBEsol
State: optimized geometry

extended XYZ file:
```
10
Lattice="5.108 0.000 0.000 2.554 4.424 0.000 2.554 1.475 4.581" Properties=species:S:1:pos:R:3 pbc="T T T"
W 7.662 4.424 0.040
O 4.205 1.655 3.633
O 4.439 4.378 3.633
O 6.680 2.814 3.633
O 6.135 4.326 1.324
Mg 2.554 1.475 0.588
Mg 7.662 4.424 2.868
O 3.402 3.150 1.324
O 5.787 1.371 1.324
Cr 5.108 2.949 2.312
```

Summary:
symmetry: R3
energy above the lowest structure with this stoichiometry: 0 meV/atom
formation energy from raw total energies: -2.261 eV per atom
V: 10.352 Å³/atom

---

Material: Pt5Se
Method: DFT, PBEsol
State: optimized geometry

extended XYZ file:
```
6
Lattice="3.869 0.000 0.000 0.000 3.991 0.000 -1.934 0.000 5.985" Properties=species:S:1:pos:R:3 pbc="T T T"
Pt 1.934 0.000 3.988
Pt 0.000 0.000 1.997
Pt 0.000 1.995 3.967
Pt 0.000 1.995 0.000
Pt 1.934 1.995 2.019
Se 1.934 0.000 0.000
```

Summary:
symmetry: Cmmm
formation energy from raw total energies: 0.159 eV per atom
V: 15.402 Å³/atom